First-principles (PBE-GGA) data for a geometry-optimized Ac3Pr3Tm structure, as listed in Alexandria.

The calculation puts the total energy at -4.269 eV per atom. For the formation energy from the elements, the calculation gives 179 meV/atom. Its symmetry is Pnma. Its calculated density is 7.53 g/cm3.

```
Ac3Pr3Tm
1.0
-3.927 3.501 2.090
1.234 -6.103 12.544
10.117 9.255 3.508
Ac Pr Tm
12 12 4
Direct
0.750 0.908 0.938 Ac
0.250 0.592 0.438 Ac
0.250 0.092 0.062 Ac
0.750 0.408 0.562 Ac
0.750 0.905 0.443 Ac
0.250 0.595 0.943 Ac
0.250 0.095 0.557 Ac
0.750 0.405 0.057 Ac
0.750 0.686 0.140 Ac
0.250 0.814 0.640 Ac
0.250 0.314 0.860 Ac
0.750 0.186 0.360 Ac
0.750 0.707 0.800 Pr
0.250 0.793 0.300 Pr
0.250 0.293 0.200 Pr
0.750 0.207 0.700 Pr
0.750 0.162 0.935 Pr
0.250 0.338 0.435 Pr
0.250 0.838 0.065 Pr
0.750 0.662 0.565 Pr
0.750 0.966 0.688 Pr
0.250 0.534 0.188 Pr
0.250 0.034 0.312 Pr
0.750 0.466 0.812 Pr
0.750 0.953 0.187 Tm
0.250 0.547 0.687 Tm
0.250 0.047 0.813 Tm
0.750 0.453 0.313 Tm
```

First-principles (PBE-GGA) data for a geometry-optimized AcPr7Tm2 structure, as listed in Alexandria.

The calculation puts the total energy at -4.054 eV per atom. For the formation energy from the elements, the calculation gives 597 meV/atom. Its symmetry is Cmmm. Its calculated density is 5.93 g/cm3. As for the energy above the lowest structure with this stoichiometry: 4.36 eV per formula unit.

```
AcPr7Tm2
1.0
-1.640 4.958 -2.815
3.013 -3.536 -7.984
-8.713 -1.308 2.774
Ac Pr Tm
1 7 2
Direct
0.000 0.000 0.000 Ac
0.000 0.759 0.241 Pr
0.000 0.241 0.759 Pr
0.500 0.062 0.301 Pr
0.500 0.938 0.699 Pr
0.500 0.301 0.062 Pr
0.500 0.699 0.938 Pr
0.500 0.500 0.500 Pr
0.500 0.703 0.297 Tm
0.500 0.297 0.703 Tm
```

First-principles (PBE-GGA) data for a geometry-optimized Ac2PrTm structure, as listed in Alexandria.

The calculation puts the total energy at -4.112 eV per atom. For the formation energy from the elements, the calculation gives 255 meV/atom. Its symmetry is R-3m. Its calculated density is 8.00 g/cm3. As for the energy above the lowest structure with this stoichiometry: 0.86 eV per formula unit.

```
Ac2PrTm
1.0
3.723 0.000 0.000
1.861 3.224 0.000
1.861 1.075 13.212
Pr Ac Tm
1 2 1
Direct
0.500 0.500 0.500 Pr
0.087 0.087 0.739 Ac
0.913 0.913 0.261 Ac
0.000 0.000 0.000 Tm
```

First-principles (PBE-GGA) data for a geometry-optimized AcPr3Tm2 structure, as listed in Alexandria.

The calculation puts the total energy at -4.210 eV per atom. For the formation energy from the elements, the calculation gives 355 meV/atom. Its symmetry is Immm. Its calculated density is 7.52 g/cm3. As for the energy above the lowest structure with this stoichiometry: 1.76 eV per formula unit.

```
AcPr3Tm2
1.0
-0.532 3.248 -1.311
-6.080 -0.523 1.171
4.709 2.503 9.080
Ac Pr Tm
1 3 2
Direct
0.000 0.000 0.000 Ac
0.000 0.500 0.000 Pr
0.809 0.809 0.619 Pr
0.191 0.191 0.381 Pr
0.639 0.639 0.277 Tm
0.361 0.361 0.723 Tm
```